No. 1
! ZrInSi PBE-GGA optimized geometry; values from VASP
&SYSTEM
  ibrav = 0, nat = 3, ntyp = 3
/
ATOMIC_SPECIES
Zr 91.22 Zr.upf
In 114.82 In.upf
Si 28.09 Si.upf
ATOMIC_POSITIONS angstrom
Zr 0.000 1.829 4.640
In 0.000 0.000 0.077
Si 1.584 0.914 2.439
CELL_PARAMETERS angstrom
3.168 0.000 0.000
-1.584 2.743 0.000
0.000 0.000 7.156
! crystal system: trigonal
! symmetry: P3m1
! raw formation energy: 28 meV/atom
! electronic total energy: -5.542 eV per atom


No. 2
! Zr5In2Si2 PBE-GGA optimized geometry; values from VASP
&SYSTEM
  ibrav = 0, nat = 18, ntyp = 3
/
ATOMIC_SPECIES
Zr 91.22 Zr.upf
In 114.82 In.upf
Si 28.09 Si.upf
ATOMIC_POSITIONS angstrom
Zr 7.035 2.301 8.483
Zr 6.111 5.887 8.147
Zr 1.559 1.285 2.429
Zr 0.636 4.870 2.094
Zr 3.645 1.285 7.252
Zr 3.390 3.586 1.231
Zr 4.026 5.887 3.324
Zr 2.722 4.870 6.917
Zr 4.949 2.301 3.660
Zr 0.000 0.000 0.000
In 5.673 0.000 5.509
In 2.283 3.586 4.279
In 5.387 3.586 6.298
In 1.997 0.000 5.067
Si 2.581 6.302 0.937
Si 5.970 4.455 2.167
Si 0.809 2.716 0.294
Si 4.199 0.870 1.524
CELL_PARAMETERS angstrom
6.780 0.000 2.461
0.000 7.171 0.000
0.891 0.000 8.115
! crystal system: orthorhombic
! symmetry: Cmce
! raw formation energy: -569 meV/atom
! electronic total energy: -7.131 eV per atom


No. 3
! ZrInSi PBE-GGA optimized geometry; values from VASP
&SYSTEM
  ibrav = 0, nat = 3, ntyp = 3
/
ATOMIC_SPECIES
In 114.82 In.upf
Zr 91.22 Zr.upf
Si 28.09 Si.upf
ATOMIC_POSITIONS angstrom
In 0.429 -0.169 0.180
Zr 2.899 -0.300 -1.755
Si 0.408 -2.211 -1.687
CELL_PARAMETERS angstrom
-1.225 -4.460 -1.260
2.388 2.791 -3.080
2.573 -1.011 1.078
! crystal system: hexagonal
! symmetry: P-6m2
! raw formation energy: -16 meV/atom
! electronic total energy: -5.586 eV per atom


No. 4
! ZrIn2Si PBE-GGA optimized geometry; values from VASP
&SYSTEM
  ibrav = 0, nat = 4, ntyp = 3
/
ATOMIC_SPECIES
In 114.82 In.upf
Zr 91.22 Zr.upf
Si 28.09 Si.upf
ATOMIC_POSITIONS angstrom
In 2.442 0.733 1.481
In 0.000 0.726 5.708
Zr 2.442 2.226 4.211
Si 0.000 0.732 3.060
CELL_PARAMETERS angstrom
4.885 0.000 0.000
0.000 2.994 0.013
0.000 -0.030 5.776
! crystal system: monoclinic
! symmetry: Pm
! raw formation energy: -63 meV/atom
! electronic total energy: -4.925 eV per atom


No. 5
! Sm13In2 PBE-GGA optimized geometry; values from VASP
&SYSTEM
  ibrav = 0, nat = 15, ntyp = 2
/
ATOMIC_SPECIES
In 114.82 In.upf
Sm 150.36 Sm.upf
ATOMIC_POSITIONS angstrom
In -6.322 -6.006 5.589
In -1.627 -8.522 9.249
Sm -4.091 -10.582 6.862
Sm -3.974 -7.264 7.419
Sm -1.408 -4.208 1.796
Sm -1.827 -1.600 4.126
Sm -3.189 -8.109 4.256
Sm -1.130 -5.832 6.327
Sm -6.122 -12.927 10.711
Sm -3.857 -3.946 7.975
Sm -3.682 -4.575 4.461
Sm -6.541 -10.319 13.041
Sm -6.819 -8.695 8.510
Sm -4.267 -9.952 10.376
Sm -4.759 -6.418 10.581
CELL_PARAMETERS angstrom
-5.768 -0.930 6.760
-4.706 -7.547 0.850
2.526 -6.050 7.227
! crystal system: trigonal
! symmetry: R-3m
! electronic total energy: -4.141 eV per atom


No. 6
! Sm5In2 PBE-GGA optimized geometry; values from VASP
&SYSTEM
  ibrav = 0, nat = 14, ntyp = 2
/
ATOMIC_SPECIES
Sm 150.36 Sm.upf
In 114.82 In.upf
ATOMIC_POSITIONS angstrom
Sm 1.212 3.839 2.104
Sm 1.268 6.859 0.099
Sm -0.925 5.528 4.457
Sm -1.706 -0.510 5.908
Sm 1.706 4.063 5.974
Sm 4.568 2.286 0.033
Sm 4.624 8.412 2.170
Sm 1.992 6.948 3.687
Sm 3.843 2.375 3.621
Sm 0.925 0.955 4.391
In 1.777 0.714 1.270
In -1.140 2.615 6.742
In 4.058 5.287 1.336
In 1.140 7.188 6.808
CELL_PARAMETERS angstrom
5.836 0.000 0.000
0.000 9.146 0.132
-2.918 -1.243 7.946
! crystal system: monoclinic
! symmetry: C2/c
! electronic total energy: -4.426 eV per atom


No. 7
! Sm3In2 PBE-GGA optimized geometry; values from VASP
&SYSTEM
  ibrav = 0, nat = 20, ntyp = 2
/
ATOMIC_SPECIES
Sm 150.36 Sm.upf
In 114.82 In.upf
ATOMIC_POSITIONS angstrom
Sm -1.267 -1.902 12.374
Sm 1.427 -6.530 5.457
Sm -6.149 -1.512 10.238
Sm -0.329 -1.770 3.684
Sm 3.366 -4.846 8.103
Sm -2.708 -0.577 9.296
Sm -4.647 -2.261 6.650
Sm -1.567 -4.415 5.937
Sm 4.869 -5.595 4.515
Sm -0.952 -5.336 11.069
Sm -0.014 -5.204 2.379
Sm 0.286 -2.691 8.816
In 0.883 -2.384 0.892
In -3.139 -3.629 9.673
In 1.859 -3.477 5.080
In -2.163 -4.723 13.861
In 0.244 -5.937 8.266
In -2.971 -3.106 2.747
In -1.524 -1.169 6.487
In 1.690 -4.001 12.006
CELL_PARAMETERS angstrom
-3.140 -4.355 -0.405
6.650 -5.163 3.955
-4.791 2.411 11.203
! crystal system: orthorhombic
! symmetry: Pnma
! electronic total energy: -4.227 eV per atom


No. 8
! Sm7In3 PBE-GGA optimized geometry; values from VASP
&SYSTEM
  ibrav = 0, nat = 10, ntyp = 2
/
ATOMIC_SPECIES
Sm 150.36 Sm.upf
In 114.82 In.upf
ATOMIC_POSITIONS angstrom
Sm -3.404 0.244 6.051
Sm 0.196 -1.292 3.002
Sm -5.280 1.529 3.030
Sm -3.427 -0.184 0.357
Sm -1.845 1.485 3.202
Sm -1.364 -2.534 5.851
Sm 2.071 -2.577 6.023
In 0.000 0.000 0.000
In -3.367 -1.468 3.336
In 0.159 0.419 5.717
CELL_PARAMETERS angstrom
-0.043 4.860 2.095
-6.855 -0.369 0.714
3.690 -5.540 6.244
! crystal system: monoclinic
! symmetry: C2/m
! electronic total energy: -4.433 eV per atom